The following is a SCAN calculation of a crystal of Cu2AgAu relaxed with PBEsol, from Alexandria.

Structure (POSCAR):
```
Cu2AgAu
1.0
2.865 0.000 0.000
0.000 2.865 0.000
0.000 0.000 6.851
Cu Ag Au
2 1 1
direct
0.500 0.500 0.225 Cu
0.000 0.000 0.024 Cu
0.000 0.000 0.476 Ag
0.500 0.500 0.775 Au
```

Computed properties:
magnetization = 0.00 μB/f.u.
V = 14.06 Å³/atom
final energy = -32.72 eV per atom
density = 12.75 g/cm³
excess energy over the best structure of this formula in the dataset = 0.020 eV/atom
space group = P4mm
ΔE_f = 0.01 eV/atom